Record 1
A relaxed structure of Mg2MnMo, computed with PBE.

## Properties
* magnetization: 3.39 μB/f.u.
* raw total energy: -0.2025 hartree per atom
* energy of formation from the pure elements: 0.286 eV per atom
* E above lowest polymorph: 0.124 eV/atom

Structure (POSCAR):
```
Mg2MnMo
1.0
2.792 0.000 0.000
0.000 2.792 0.000
0.000 0.000 8.946
Mg Mn Mo
2 1 1
Direct
0.000 0.000 0.000
0.500 0.500 0.292
0.000 0.000 0.533
0.500 0.500 0.751
```


Record 2
A relaxed structure of Mg2MnMo, computed with PBE.

## Properties
* magnetization: 0.69 μB/f.u.
* raw total energy: -0.2016 hartree per atom
* energy of formation from the pure elements: 0.311 eV per atom
* E above lowest polymorph: 0.149 eV/atom

Structure (POSCAR):
```
Mg2MnMo
1.0
-1.582 2.374 4.489
1.582 -2.374 4.489
1.582 2.374 -4.489
Mg Mn Mo
2 1 1
Direct
0.000 0.000 0.000
0.722 0.222 0.500
0.466 0.466 0.000
0.281 0.781 0.500
```


Record 3
A relaxed structure of Mg14MnMo, computed with PBE.

## Properties
* magnetization: 2.55 μB/f.u.
* raw total energy: -0.0923 hartree per atom
* energy of formation from the pure elements: 0.133 eV per atom
* E above lowest polymorph: 0.000 eV/atom

Structure (POSCAR):
```
Mg14MnMo
1.0
10.042 0.000 0.000
0.000 3.093 5.434
0.000 -3.093 5.434
Mg Mn Mo
14 1 1
Direct
0.000 0.000 0.000
0.000 0.002 0.501
0.000 0.499 0.499
0.000 0.501 0.002
0.257 0.662 0.662
0.259 0.161 0.161
0.267 0.168 0.674
0.267 0.674 0.168
0.500 0.001 0.500
0.500 0.500 0.001
0.733 0.168 0.674
0.733 0.674 0.168
0.741 0.161 0.161
0.743 0.662 0.662
0.500 0.503 0.503
0.500 0.005 0.005
```